Compound: Tb2Pr4Nd5
Source: Alexandria via LeMat-Bulk
Functional: PBE-GGA
Structure: relaxed

Values from the calculation:
As for the density of states at the Fermi level: 18.1 states/eV/cell. The electronic total energy comes out at -50.75 eV per formula unit. The calculation puts the density at 6.869 g cm⁻³. The calculation puts the formation energy at 0.13 eV/atom.

Cell: 3.533 9.011 12.386 Å, 96.84 98.20 90.00°
Element x y z (fractional)
Tb: 0.090 0.734 0.180
Nd: 0.770 0.176 0.540
Nd: 0.230 0.824 0.460
Tb: 0.910 0.266 0.820
Nd: 0.859 0.887 0.718
Pr: 0.046 0.361 0.091
Pr: 0.678 0.472 0.355
Pr: 0.954 0.639 0.909
Pr: 0.322 0.528 0.645
Nd: 0.500 0.000 0.000
Nd: 0.141 0.113 0.282

---

Compound: Tb6Pr3Nd2
Source: Alexandria via LeMat-Bulk
Functional: PBE-GGA
Structure: relaxed

Values from the calculation:
As for the density of states at the Fermi level: 15.0 states/eV/cell. The electronic total energy comes out at -48.90 eV per formula unit. The calculation puts the density at 7.106 g cm⁻³. The calculation puts the formation energy at 0.25 eV/atom.

Cell: 4.823 4.823 17.067 Å, 98.12 98.12 90.00°
Element x y z (fractional)
Tb: 0.380 0.880 0.759
Tb: 0.880 0.380 0.759
Tb: 0.692 0.692 0.385
Pr: 0.204 0.204 0.408
Nd: 0.546 0.546 0.092
Tb: 0.620 0.120 0.241
Pr: 0.796 0.796 0.592
Nd: 0.454 0.454 0.908
Tb: 0.308 0.308 0.615
Pr: 0.000 0.000 0.000
Tb: 0.120 0.620 0.241